The following is a DFT calculation (PBE-GGA) of K2RbHgBi2 after structural relaxation.

It has space group Ibam (No. 72), with a = 9.725 Å, b = 14.427 Å, c = 7.849 Å, α = 90.00°, β = 90.00° and γ = 90.00°. The inequivalent atoms are K at (0.161, 0.174, 0.000), Rb at (0.000, 0.500, 0.250), Hg at (0.000, 0.000, 0.250) and Bi at (0.193, 0.094, 0.500).

The volume is 45.9 A^3/atom.



The following is a DFT calculation (PBE-GGA) of MnP2Ru after structural relaxation.

It has space group F-43m (No. 216), with a = 5.992 Å, b = 5.992 Å, c = 5.992 Å, α = 90.00°, β = 90.00° and γ = 90.00°. The inequivalent atoms are Mn at (0.000, 0.000, 0.000), P at (0.000, 0.000, 0.500), P at (0.250, 0.250, 0.750) and Ru at (0.250, 0.250, 0.250).

The energy above the most stable polymorph in this dataset comes out at 706 meV/atom. The volume is 13.4 A^3/atom.



The following is a DFT calculation (PBE-GGA) of SmDyTmAg after structural relaxation.

It has space group F-43m (No. 216), with a = 7.617 Å, b = 7.617 Å, c = 7.617 Å, α = 90.00°, β = 90.00° and γ = 90.00°. The inequivalent atoms are Sm at (0.000, 0.000, 0.000), Dy at (0.000, 0.000, 0.500), Tm at (0.250, 0.250, 0.250) and Ag at (0.250, 0.250, 0.750).

The energy above the most stable polymorph in this dataset comes out at 185 meV/atom. The volume is 27.6 A^3/atom.



The following is a DFT calculation (PBE-GGA) of YRu2Au after structural relaxation.

It has space group P4/mmm (No. 123), with a = 3.457 Å, b = 3.457 Å, c = 6.142 Å, α = 90.00°, β = 90.00° and γ = 90.00°. The inequivalent atoms are Y at (0.000, 0.000, 0.000), Ru at (0.500, 0.500, 0.285) and Au at (0.000, 0.000, 0.500).

The energy above the most stable polymorph in this dataset comes out at 244 meV/atom. The volume is 18.4 A^3/atom.



| no. | final energy (Ry/atom) | E_form (eV/atom) |
| --- | --- | --- |
| 1 | -0.15524 | -0.24 |
| 2 | -0.51603 | 0.30 |
| 3 | -0.30215 | 0.05 |
| 4 | -0.50538 | 0.20 |